meta-GGA SCAN SmTiGe, PBEsol geometry; SG = No. 139; distance to the lowest polymorph of the same formula = 0.000 kcal/mol of atoms
1.0
4.038 0.000 0.000
0.000 4.038 0.000
0.000 0.000 15.592
Sm Ti Ge
4 4 4
Cartesian
0.000 0.000 2.724
0.000 0.000 12.868
2.019 2.019 5.072
2.019 2.019 10.520
0.000 2.019 0.000
0.000 2.019 7.796
2.019 0.000 0.000
2.019 0.000 7.796
0.000 0.000 5.945
0.000 0.000 9.647
2.019 2.019 1.851
2.019 2.019 13.742

***

meta-GGA SCAN SmTiGe, PBEsol geometry; SG = No. 129; distance to the lowest polymorph of the same formula = 0.478 kcal/mol of atoms
1.0
4.053 0.000 0.000
0.000 4.053 0.000
0.000 0.000 7.717
Sm Ti Ge
2 2 2
Cartesian
1.013 1.013 1.187
3.040 3.040 6.530
1.013 3.040 3.859
3.040 1.013 3.859
1.013 1.013 5.658
3.040 3.040 2.059

***

meta-GGA SCAN Sr2SnGe2, PBEsol geometry; SG = No. 139
1.0
3.772 0.000 0.000
0.000 3.772 0.000
0.000 0.000 19.598
Sr Sn Ge
4 2 4
Cartesian
0.000 0.000 2.172
0.000 0.000 17.426
1.886 1.886 7.627
1.886 1.886 11.971
0.000 0.000 9.799
1.886 1.886 0.000
0.000 1.886 4.900
0.000 1.886 14.699
1.886 0.000 4.900
1.886 0.000 14.699

***

meta-GGA SCAN TbSnGe, PBEsol geometry; SG = No. 63
1.0
4.246 0.000 0.000
0.000 16.082 0.000
0.000 0.000 4.020
Tb Sn Ge
4 4 4
Cartesian
0.000 1.519 1.005
0.000 14.563 3.015
2.123 6.522 3.015
2.123 9.560 1.005
0.000 4.094 3.015
0.000 11.988 1.005
2.123 3.947 1.005
2.123 12.135 3.015
0.000 7.182 1.005
0.000 8.899 3.015
2.123 0.859 3.015
2.123 15.223 1.005

***

meta-GGA SCAN Sn2GeTe3, PBEsol geometry; SG = No. 164; raw formation energy = -142.0 meV/atom
1.0
4.341 0.000 0.000
-2.171 3.759 0.000
0.000 0.000 10.730
Sn Ge Te
2 1 3
Cartesian
0.000 2.506 3.494
2.171 1.253 7.236
0.000 0.000 0.000
0.000 0.000 5.365
0.000 2.506 9.111
2.171 1.253 1.619

***

meta-GGA SCAN SnGe2Te, PBEsol geometry; SG = No. 225; raw formation energy = 366.1 meV/atom
1.0
7.112 0.000 0.000
0.000 7.112 0.000
0.000 0.000 7.112
Sn Ge Te
4 8 4
Cartesian
0.000 0.000 0.000
0.000 3.556 3.556
3.556 0.000 3.556
3.556 3.556 0.000
1.778 1.778 1.778
1.778 1.778 5.334
1.778 5.334 1.778
1.778 5.334 5.334
5.334 1.778 1.778
5.334 1.778 5.334
5.334 5.334 1.778
5.334 5.334 5.334
0.000 0.000 3.556
0.000 3.556 0.000
3.556 0.000 0.000
3.556 3.556 3.556

***

meta-GGA SCAN SnGeTe2, PBEsol geometry; SG = No. 225; raw formation energy = 233.2 meV/atom
1.0
7.441 0.000 0.000
0.000 7.441 0.000
0.000 0.000 7.441
Sn Ge Te
4 4 8
Cartesian
0.000 0.000 0.000
0.000 3.720 3.720
3.720 0.000 3.720
3.720 3.720 0.000
0.000 0.000 3.720
0.000 3.720 0.000
3.720 0.000 0.000
3.720 3.720 3.720
1.860 1.860 1.860
1.860 1.860 5.581
1.860 5.581 1.860
1.860 5.581 5.581
5.581 1.860 1.860
5.581 1.860 5.581
5.581 5.581 1.860
5.581 5.581 5.581

***

meta-GGA SCAN TiSnGe3, PBEsol geometry; SG = No. 221
1.0
5.116 0.000 0.000
0.000 5.116 0.000
0.000 0.000 5.116
Ti Sn Ge
1 1 3
Cartesian
0.000 0.000 0.000
2.558 2.558 2.558
0.000 2.558 2.558
2.558 0.000 2.558
2.558 2.558 0.000

***

meta-GGA SCAN TmSnGe, PBEsol geometry; SG = No. 63
1.0
4.201 0.000 0.000
0.000 15.742 0.000
0.000 0.000 3.999
Tm Sn Ge
4 4 4
Cartesian
0.000 1.474 1.000
0.000 14.268 2.999
2.101 6.397 2.999
2.101 9.345 1.000
0.000 4.002 2.999
0.000 11.740 1.000
2.101 3.869 1.000
2.101 11.873 2.999
0.000 6.999 1.000
0.000 8.743 2.999
2.101 0.872 2.999
2.101 14.870 1.000

***

meta-GGA SCAN SnGe3W, PBEsol geometry; SG = No. 221
1.0
4.890 0.000 0.000
0.000 4.890 0.000
0.000 0.000 4.890
Sn Ge W
1 3 1
Cartesian
0.000 0.000 0.000
0.000 2.445 2.445
2.445 0.000 2.445
2.445 2.445 0.000
2.445 2.445 2.445

***

meta-GGA SCAN SnGeW3, PBEsol geometry; SG = No. 221
1.0
4.588 0.000 0.000
0.000 4.588 0.000
0.000 0.000 4.588
Sn Ge W
1 1 3
Cartesian
0.000 0.000 0.000
2.294 2.294 2.294
0.000 2.294 2.294
2.294 0.000 2.294
2.294 2.294 0.000

***

meta-GGA SCAN Y3SnGe, PBEsol geometry; SG = No. 221
1.0
5.539 0.000 0.000
0.000 5.539 0.000
0.000 0.000 5.539
Y Sn Ge
3 1 1
Cartesian
0.000 0.000 2.769
0.000 2.769 0.000
2.769 0.000 0.000
0.000 0.000 0.000
2.769 2.769 2.769

***

The following total DFT energy (no corrections) values (in eV for the cell shown) correspond, in order, to the records above: -327.50, -163.63, -241.59, -415.53, -203.54, -439.53, -514.31, -103.32, -435.12, -159.78, -255.49, -138.12.